Compound: Ba2TePb
Source: Alexandria
Functional: PBE
Structure: relaxed

The density of states at the Fermi level is 0.933 states/eV per atom. As for the raw formation energy: -814.9 meV/atom. The total energy is -0.256 Ry/atom. As for the offset from the most stable computed form: 203 meV per atom.

It has space group I-4m2 (No. 119), with a = 5.0104 Å, b = 5.0104 Å, c = 12.8244 Å, α = 90.00°, β = 90.00° and γ = 90.00°. The distinct sites, in fractional coordinates, are Ba at (0.0000, 0.0000, 0.0000), Ba at (0.0000, 0.5000, 0.2500), Te at (0.0000, 0.0000, 0.5000) and Pb at (0.0000, 0.5000, 0.7500).